[1]
This record from the Alexandria database describes a relaxed Sc4Ga2Hg crystal. The functional is GGA-PBE.

## Properties
For the total energy, the calculation gives -4.758 eV/atom. The symmetry is R-3m (166). The distance to the lowest polymorph of the same formula comes out at 0.167 eV/atom. As for the density of states at the Fermi level: 1.02 states/eV/atom.

Lattice parameters (Å, degrees): 4.6612 4.6612 9.1123 75.18 75.18 60.00
Positions (direct):
Sc  0.3831  0.3831  0.8507
Sc  0.2039  0.2039  0.3883
Sc  0.7961  0.7961  0.6117
Sc  0.6169  0.6169  0.1493
Ga  0.0996  0.0996  0.7013
Ga  0.9004  0.9004  0.2987
Hg  0.0000  0.0000  0.0000

[2]
This record from the Alexandria database describes a relaxed Sc2Ga2Hg crystal. The functional is GGA-PBE.

## Properties
For the total energy, the calculation gives -4.018 eV/atom. The symmetry is I4/mmm (139). As for the density of states at the Fermi level: 1.33 states/eV/atom.

Lattice parameters (Å, degrees): 3.6655 3.6655 8.4460 77.47 77.47 90.00
Positions (direct):
Sc  0.3958  0.3958  0.2083
Sc  0.6042  0.6042  0.7917
Hg  0.0000  0.0000  0.0000
Ga  0.7500  0.2500  0.5000
Ga  0.2500  0.7500  0.5000

[3]
This record from the Alexandria database describes a relaxed ScGaHg2 crystal. The functional is GGA-PBE.

## Properties
For the total energy, the calculation gives -2.761 eV/atom. The symmetry is P4/mmm (123). As for the density of states at the Fermi level: 0.83 states/eV/atom.

Lattice parameters (Å, degrees): 4.4330 4.3283 4.3283 90.00 90.00 90.00
Positions (direct):
Sc  0.5000  0.0000  0.0000
Hg  0.0000  0.0000  0.5000
Hg  0.0000  0.5000  0.0000
Ga  0.5000  0.5000  0.5000

[4]
This record from the Alexandria database describes a relaxed Sc2GaHg2 crystal. The functional is GGA-PBE.

## Properties
For the total energy, the calculation gives -3.630 eV/atom. The symmetry is Cmmm (65). The distance to the lowest polymorph of the same formula comes out at 0.000 eV/atom. As for the density of states at the Fermi level: 0.63 states/eV/atom.

Lattice parameters (Å, degrees): 3.2015 3.2483 10.4815 81.09 90.00 90.00
Positions (direct):
Sc  0.5000  0.4126  0.1748
Sc  0.5000  0.5874  0.8252
Ga  0.0000  0.0000  0.0000
Hg  0.0000  0.1870  0.6260
Hg  0.0000  0.8130  0.3740

[5]
This record from the Alexandria database describes a relaxed ScGaHg2 crystal. The functional is GGA-PBE.

## Properties
For the total energy, the calculation gives -2.340 eV/atom. The symmetry is R-3m (166). As for the density of states at the Fermi level: 0.75 states/eV/atom.

Lattice parameters (Å, degrees): 3.2404 3.2404 10.8284 81.39 81.39 60.00
Positions (direct):
Sc  0.0000  0.0000  0.0000
Hg  0.0911  0.0911  0.7267
Hg  0.9089  0.9089  0.2733
Ga  0.5000  0.5000  0.5000

[6]
This record from the Alexandria database describes a relaxed ScGaHg crystal. The functional is GGA-PBE.

## Properties
For the total energy, the calculation gives -3.552 eV/atom. The symmetry is Pnma (62). The distance to the lowest polymorph of the same formula comes out at 0.102 eV/atom. As for the density of states at the Fermi level: 0.61 states/eV/atom.

Lattice parameters (Å, degrees): 6.0275 4.5267 8.8726 90.00 90.00 90.00
Positions (direct):
Sc  0.3303  0.2500  0.4222
Sc  0.1697  0.7500  0.9222
Sc  0.6697  0.7500  0.5778
Sc  0.8303  0.2500  0.0778
Hg  0.9654  0.2500  0.7341
Hg  0.5346  0.7500  0.2341
Hg  0.0346  0.7500  0.2659
Hg  0.4654  0.2500  0.7659
Ga  0.8293  0.2500  0.4113
Ga  0.6707  0.7500  0.9113
Ga  0.1707  0.7500  0.5887
Ga  0.3293  0.2500  0.0887

[7]
This record from the Alexandria database describes a relaxed ScGa2Hg2 crystal. The functional is GGA-PBE.

## Properties
For the total energy, the calculation gives -2.625 eV/atom. The symmetry is P4/mbm (127). The distance to the lowest polymorph of the same formula comes out at 0.035 eV/atom. As for the density of states at the Fermi level: 0.97 states/eV/atom.

Lattice parameters (Å, degrees): 7.7856 7.7856 3.5951 90.00 90.00 90.00
Positions (direct):
Sc  0.0000  0.0000  0.0000
Sc  0.5000  0.5000  0.0000
Hg  0.3667  0.8667  0.0000
Hg  0.8667  0.6333  0.0000
Hg  0.6333  0.1333  0.0000
Hg  0.1333  0.3667  0.0000
Ga  0.1735  0.6735  0.5000
Ga  0.6735  0.8265  0.5000
Ga  0.8265  0.3265  0.5000
Ga  0.3265  0.1735  0.5000

[8]
This record from the Alexandria database describes a relaxed Sc4Ga4Hg3 crystal. The functional is GGA-PBE.

## Properties
For the total energy, the calculation gives -3.729 eV/atom. The symmetry is C2/m (12). As for the density of states at the Fermi level: 0.69 states/eV/atom.

Lattice parameters (Å, degrees): 3.5343 7.5623 9.6737 111.63 100.53 90.00
Positions (direct):
Sc  0.7279  0.1524  0.4559
Sc  0.2721  0.8476  0.5441
Sc  0.4530  0.7587  0.9061
Sc  0.5470  0.2414  0.0939
Ga  0.6958  0.4788  0.3915
Ga  0.3669  0.2732  0.7337
Ga  0.3042  0.5212  0.6085
Ga  0.6331  0.7268  0.2663
Hg  0.9077  0.0251  0.8153
Hg  0.0923  0.9749  0.1847
Hg  0.0000  0.5000  0.0000

[9]
This record from the Alexandria database describes a relaxed Sc3Ga4Hg crystal. The functional is GGA-PBE.

## Properties
For the total energy, the calculation gives -4.339 eV/atom. The symmetry is Cmmm (65). As for the density of states at the Fermi level: 0.47 states/eV/atom.

Lattice parameters (Å, degrees): 3.1689 6.1781 8.6076 111.03 90.04 90.00
Last column: magnetic moment on the atom in μB.
Positions (direct):
Sc  0.0002  0.2370  0.4740  0.18
Sc  0.9998  0.7630  0.5260  0.18
Sc  0.0000  0.5000  0.0000  -0.03
Hg  0.5000  0.0000  0.0000  0.00
Ga  0.5000  0.5818  0.7357  0.00
Ga  0.5000  0.4182  0.2643  0.00
Ga  0.5000  0.8462  0.2643  0.00
Ga  0.5000  0.1538  0.7357  0.00

[10]
This record from the Alexandria database describes a relaxed ScGaHg2 crystal. The functional is GGA-PBE.

## Properties
For the total energy, the calculation gives -2.577 eV/atom. The symmetry is I-42d (122). As for the density of states at the Fermi level: 0.68 states/eV/atom.

Lattice parameters (Å, degrees): 4.2482 4.2482 10.6632 78.51 78.51 90.00
Positions (direct):
Sc  0.5000  0.5000  0.0000
Sc  0.2500  0.7500  0.5000
Hg  0.6317  0.1250  0.2500
Hg  0.1183  0.6250  0.2500
Hg  0.3750  0.3683  0.7500
Hg  0.8750  0.8817  0.7500
Ga  0.0000  0.0000  0.0000
Ga  0.7500  0.2500  0.5000

[11]
This record from the Alexandria database describes a relaxed ScGaHg crystal. The functional is GGA-PBE.

## Properties
For the total energy, the calculation gives -3.615 eV/atom. The symmetry is Imm2 (44). The distance to the lowest polymorph of the same formula comes out at 0.039 eV/atom. As for the density of states at the Fermi level: 0.73 states/eV/atom.

Lattice parameters (Å, degrees): 4.5609 5.6630 5.6630 89.24 66.21 66.22
Positions (direct):
Sc  0.6968  0.0302  0.2814
Sc  0.1969  0.5392  0.7724
Hg  0.4366  0.6276  0.2032
Hg  0.9573  0.1081  0.6838
Ga  0.9782  0.4199  0.3275
Ga  0.4150  0.9845  0.8921

[12]
This record from the Alexandria database describes a relaxed ScGaHg crystal. The functional is GGA-PBE.

## Properties
For the total energy, the calculation gives -3.580 eV/atom. The symmetry is Pnma (62). The distance to the lowest polymorph of the same formula comes out at 0.073 eV/atom. As for the density of states at the Fermi level: 0.70 states/eV/atom.

Lattice parameters (Å, degrees): 6.1969 4.3717 8.9552 90.00 90.00 90.00
Positions (direct):
Sc  0.3495  0.2500  0.4019
Sc  0.1505  0.7500  0.9019
Sc  0.6505  0.7500  0.5981
Sc  0.8495  0.2500  0.0981
Hg  0.8492  0.2500  0.4213
Hg  0.6508  0.7500  0.9213
Hg  0.1508  0.7500  0.5787
Hg  0.3492  0.2500  0.0787
Ga  0.9187  0.2500  0.7520
Ga  0.5813  0.7500  0.2520
Ga  0.0813  0.7500  0.2480
Ga  0.4187  0.2500  0.7480

[13]
This record from the Alexandria database describes a relaxed ScGaHg3 crystal. The functional is GGA-PBE.

## Properties
For the total energy, the calculation gives -1.748 eV/atom. The symmetry is Pm-3m (221). The distance to the lowest polymorph of the same formula comes out at 0.000 eV/atom. As for the density of states at the Fermi level: 1.01 states/eV/atom.

Lattice parameters (Å, degrees): 5.1078 5.1078 5.1078 90.00 90.00 90.00
Last column: magnetic moment on the atom in μB.
Positions (direct):
Sc  0.5000  0.5000  0.5000  0.14
Hg  0.0000  0.5000  0.0000  0.00
Hg  0.0000  0.0000  0.5000  0.00
Hg  0.5000  0.0000  0.0000  0.00
Ga  0.0000  0.0000  0.0000  0.00